An optimized crystal structure of CsCdPt, computed with PBE. Values from VASP.

Computed properties:
**Mass density**: 7.00 Mg/m³
**N(E_F)**: 0.29 states/eV per atom
**Formation energy from the elements**: -0.09 eV per atom
**ΔE to the lowest computed polymorph**: 70 meV per atom

Structure (Quantum ESPRESSO input):
```
&SYSTEM
  ibrav = 0, nat = 3, ntyp = 3
/
ATOMIC_SPECIES
Cd 112.41 Cd.upf
Cs 132.91 Cs.upf
Pt 195.08 Pt.upf
CELL_PARAMETERS angstrom
5.5237 0.0000 0.0000
0.0000 4.6720 0.0000
0.0000 -2.3360 4.0461
ATOMIC_POSITIONS angstrom
Cd 0.9210 2.3360 1.3487
Cs 3.6822 0.0000 2.6974
Pt 0.9206 0.0000 0.0000
```

An optimized crystal structure of Li2Pm3Ga2, computed with PBE. Values from VASP.

Computed properties:
**Mass density**: 5.91 Mg/m³
**N(E_F)**: 0.87 states/eV per atom
**Formation energy from the elements**: -0.31 eV per atom

Structure (Quantum ESPRESSO input):
```
&SYSTEM
  ibrav = 0, nat = 7, ntyp = 3
/
ATOMIC_SPECIES
Li 6.94 Li.upf
Ga 69.72 Ga.upf
Pm 145.00 Pm.upf
CELL_PARAMETERS angstrom
-1.6971 5.2877 -1.6641
0.9868 -3.0608 -3.6427
-5.7036 -3.3711 4.5315
ATOMIC_POSITIONS angstrom
Li -3.7359 0.2926 -1.2598
Ga -2.4105 2.2972 -2.5828
Pm -4.9681 -0.4729 2.2944
Li -2.6780 -1.4367 0.4846
Pm 0.0000 0.0000 0.0000
Ga -4.0034 -3.4413 1.8075
Pm -1.4458 -0.6713 -3.0696
```

An optimized crystal structure of AcPuCd, computed with PBE. Values from VASP.

Computed properties:
**Mass density**: 10.11 Mg/m³
**N(E_F)**: 3.21 states/eV per atom
**Formation energy from the elements**: 0.04 eV per atom
**ΔE to the lowest computed polymorph**: 0 meV per atom

Structure (Quantum ESPRESSO input):
```
&SYSTEM
  ibrav = 0, nat = 6, ntyp = 3
/
ATOMIC_SPECIES
Cd 112.41 Cd.upf
Ac 227.00 Ac.upf
Pu 244.00 Pu.upf
CELL_PARAMETERS angstrom
3.8444 1.2055 -0.7409
2.5609 5.0141 -1.1872
-1.0082 -3.1464 12.4927
ATOMIC_POSITIONS angstrom
Cd 2.7145 0.6590 2.8463
Ac 4.2649 3.4903 4.1972
Pu 3.3086 1.3556 7.0928
Ac 3.8201 1.9403 10.7260
Cd 3.8172 2.9036 0.7718
Pu 2.2162 -0.9387 9.0174
```

An optimized crystal structure of Pm2Sm2Tm5, computed with PBE. Values from VASP.

Computed properties:
**Mass density**: 8.10 Mg/m³
**N(E_F)**: 1.66 states/eV per atom
**Formation energy from the elements**: 0.21 eV per atom
**ΔE to the lowest computed polymorph**: 177 meV per atom

Structure (Quantum ESPRESSO input):
```
&SYSTEM
  ibrav = 0, nat = 18, ntyp = 3
/
ATOMIC_SPECIES
Tm 168.93 Tm.upf
Sm 150.36 Sm.upf
Pm 145.00 Pm.upf
CELL_PARAMETERS angstrom
-8.8816 3.8104 -6.6877
3.7442 -0.9261 -5.5001
0.0041 -8.4219 5.5234
ATOMIC_POSITIONS angstrom
Tm -8.2925 -0.5461 -4.7859
Tm -3.2263 -0.9835 -1.1547
Tm -4.3343 -3.9978 -1.4009
Sm -0.9835 -3.5437 -0.9697
Pm 0.2350 -5.7487 -3.4488
Sm 0.0161 -0.0040 -0.0236
Tm -2.7064 -4.3564 -4.3353
Tm -1.5989 -1.3419 -4.0884
Pm 1.4961 -2.3152 -3.1679
Pm -4.9353 0.1040 -3.8515
Sm -2.5523 1.4381 -6.1180
Tm 2.4590 -4.8184 -0.8499
Sm -3.3312 -2.1964 -6.8972
Tm -4.2028 1.4178 -8.9002
Tm -6.2472 1.9549 -6.2801
Tm 0.6192 -7.3388 -0.0407
Tm -1.0804 -6.9497 2.8391
Pm -6.1969 -3.3294 -4.1317
```

Q: The highest formation energy from the elements belongs to which entry?
A: Pm2Sm2Tm5